[1]
GePd2Au: relaxed, GGA-PBE.

## Properties
Formation enthalpy at 0 K = -0.7 eV per formula unit

abc: 7.133 7.133 5.724
angles: 51.46 51.46 90.00
Positions (direct):
Ge  0.500  0.500  0.000
Ge  0.250  0.750  0.500
Au  0.000  0.000  0.000
Au  0.750  0.250  0.500
Pd  0.588  0.125  0.250
Pd  0.162  0.625  0.250
Pd  0.375  0.412  0.750
Pd  0.875  0.838  0.750

---

[2]
Sm2Er3Th: relaxed, GGA-PBE.

## Properties
Formation enthalpy at 0 K = 0.2 eV per formula unit
Polymorph energy (0 for the lowest one) = 0 meV/atom

abc: 5.039 6.175 18.516
angles: 48.16 82.18 65.92
Positions (direct):
Sm  0.875  0.379  0.872
Sm  0.125  0.621  0.128
Sm  0.628  0.117  0.627
Sm  0.372  0.883  0.373
Er  0.123  0.963  0.791
Er  0.877  0.037  0.209
Er  0.624  0.795  0.957
Er  0.376  0.205  0.043
Er  0.873  0.711  0.543
Er  0.127  0.289  0.457
Th  0.377  0.537  0.709
Th  0.623  0.463  0.291

---

[3]
BaAlHgPb: relaxed, GGA-PBE.

## Properties
Formation enthalpy at 0 K = -0.6 eV per formula unit

abc: 5.565 5.565 5.565
angles: 60.00 60.00 60.00
Positions (direct):
Pb  0.250  0.250  0.250
Al  0.000  0.000  0.000
Hg  0.500  0.500  0.500
Ba  0.750  0.750  0.750

---

[4]
PIBr4: relaxed, GGA-PBE.

## Properties
E_form (uncorrected) = -137 meV/atom
Polymorph energy (0 for the lowest one) = 90 meV/atom

abc: 9.115 6.519 10.200
angles: 97.28 108.00 115.56
Positions (direct):
P  0.049  0.799  0.599
P  0.951  0.201  0.401
I  0.354  0.604  0.208
I  0.646  0.396  0.792
Br  0.015  0.332  0.183
Br  0.668  0.850  0.183
Br  0.226  0.581  0.590
Br  0.774  0.419  0.410
Br  0.137  0.991  0.410
Br  0.332  0.150  0.817
Br  0.863  0.009  0.590
Br  0.985  0.668  0.817

---

[5]
Li2Cd2Ag3: relaxed, GGA-PBE.

## Properties
Formation enthalpy at 0 K = -1.3 eV per formula unit
Polymorph energy (0 for the lowest one) = 0 meV/atom

abc: 4.157 5.091 6.617
angles: 98.02 90.00 114.10
Positions (direct):
Li  0.791  0.581  0.845
Li  0.209  0.419  0.155
Cd  0.921  0.841  0.274
Cd  0.079  0.159  0.726
Ag  0.500  0.000  0.000
Ag  0.643  0.286  0.424
Ag  0.357  0.714  0.576

---

[6]
PuTl3Se3: relaxed, GGA-PBE.

## Properties
E_form (uncorrected) = -799 meV/atom

abc: 4.277 9.001 12.376
angles: 90.12 90.00 90.00
Last column: magnetic moment on the atom in μB.
Positions (direct):
Pu  0.250  0.877  0.379  5.12
Pu  0.750  0.123  0.621  5.12
Tl  0.250  0.373  0.368  0.00
Tl  0.750  0.627  0.632  0.00
Tl  0.250  0.868  0.870  0.00
Tl  0.750  0.132  0.130  0.00
Tl  0.250  0.352  0.864  0.01
Tl  0.750  0.648  0.136  0.01
Se  0.250  0.343  0.617  -0.07
Se  0.750  0.657  0.383  -0.07
Se  0.250  0.906  0.612  -0.11
Se  0.750  0.094  0.388  -0.11
Se  0.250  0.889  0.145  -0.04
Se  0.750  0.111  0.855  -0.04

---

[7]
NaLaW3: relaxed, GGA-PBE.

## Properties
Formation enthalpy at 0 K = 13.3 eV per formula unit
Polymorph energy (0 for the lowest one) = 0 meV/atom

abc: 4.780 4.780 4.780
angles: 90.00 90.00 90.00
Last column: magnetic moment on the atom in μB.
Positions (direct):
Na  0.000  0.000  0.000  0.04
W  0.000  0.500  0.000  0.24
W  0.000  0.000  0.500  0.36
W  0.500  0.000  0.000  0.41
La  0.500  0.500  0.500  0.06

---

[8]
Sr2CdNiTe: relaxed, GGA-PBE.

## Properties
E_form (uncorrected) = -521 meV/atom

abc: 5.649 5.649 4.914
angles: 90.00 90.00 90.00
Positions (direct):
Sr  0.000  0.500  0.000
Sr  0.500  0.000  0.000
Te  0.500  0.500  0.500
Ni  0.000  0.000  0.000
Cd  0.000  0.000  0.500